VASP calculation (PBE-GGA) on a relaxed structure of LiReNi3.

Output
E above lowest polymorph   5.36 eV/f.u.
Mass density   6.56 g/cm³

Unit cell a=4.5389 b=4.5389 c=4.5389 alpha=90.00 beta=90.00 gamma=90.00
Last column: nearest neighbours and their distance in Å.
Fractional positions:
Ni: 0.0000 0.5000 0.0000  2 Re 2.27
Ni: 0.0000 0.0000 0.5000  2 Re 2.27
Ni: 0.5000 0.0000 0.0000  2 Re 2.27
Re: 0.0000 0.0000 0.0000  6 Ni 2.27
Li: 0.5000 0.5000 0.5000  12 Ni 3.21